Entry from the Alexandria database: a PBEsol-optimized structure of Mn2HWO (SCAN).

a = 3.502 Å, b = 3.502 Å, c = 4.190 Å
α = 90.00°, β = 90.00°, γ = 90.00°
Atoms (fractional coordinates):
W (0.500, 0.500, 0.500)
Mn (0.000, 0.500, 0.000)
O (0.000, 0.000, 0.000)
H (0.000, 0.000, 0.500)
Mn (0.500, 0.000, 0.000)

Results
The calculated total energy comes out at -114.6 eV per cell.